Density functional theory data (PBE) for a relaxed HfFeN3 crystal.

Unit cell a=3.6489 b=3.6489 c=3.6489 alpha=90.00 beta=90.00 gamma=90.00
Last column: nearest neighbours and their distance in Å.
Element x y z (fractional)
Hf (0.5000, 0.5000, 0.5000)  12 N 2.58
Fe (0.0000, 0.0000, 0.0000)  6 N 1.82
N (0.0000, 0.5000, 0.0000)  2 Fe 1.82
N (0.0000, 0.0000, 0.5000)  2 Fe 1.82
N (0.5000, 0.0000, 0.0000)  2 Fe 1.82

VASP energy = -42.78 eV per cell
formation energy (no corrections) = 0.123 eV/atom
total magnetic moment = 0.55 μB/atom

***

Density functional theory data (PBE) for a relaxed Hf2FeN crystal.

Unit cell a=6.0641 b=6.0641 c=5.5845 alpha=57.12 beta=57.12 gamma=90.00
Last column: nearest neighbours and their distance in Å.
Element x y z (fractional)
Hf (0.5625, 0.1250, 0.2500)  2 N 2.10
Hf (0.1875, 0.6250, 0.2500)  2 N 2.10
Hf (0.3750, 0.4375, 0.7500)  2 N 2.10
Hf (0.8750, 0.8125, 0.7500)  2 N 2.10
Fe (0.0000, 0.0000, 0.0000)  4 Hf 2.59
Fe (0.7500, 0.2500, 0.5000)  4 Hf 2.59
N (0.5000, 0.5000, 0.0000)  4 Hf 2.10
N (0.2500, 0.7500, 0.5000)  4 Hf 2.10

VASP energy = -76.22 eV per cell
formation energy (no corrections) = -0.354 eV/atom
total magnetic moment = 0.25 μB/atom

***

Density functional theory data (PBE) for a relaxed Hf12Fe6N crystal.

Unit cell a=7.1737 b=7.1737 c=7.1737 alpha=97.98 beta=97.98 gamma=97.98
Last column: nearest neighbours and their distance in Å.
Element x y z (fractional)
Hf (0.8226, 0.5826, 0.4251)  3 Fe 2.40-2.65
Hf (0.4251, 0.8226, 0.5826)  3 Fe 2.40-2.65
Hf (0.5826, 0.4251, 0.8226)  3 Fe 2.40-2.65
Hf (0.1774, 0.4174, 0.5749)  3 Fe 2.40-2.65
Hf (0.5749, 0.1774, 0.4174)  3 Fe 2.40-2.65
Hf (0.4174, 0.5749, 0.1774)  3 Fe 2.40-2.65
Hf (0.0785, 0.9604, 0.3116)  1 N 2.29, 1 Fe 2.49
Hf (0.0396, 0.6884, 0.9215)  1 N 2.29, 1 Fe 2.49
Hf (0.6884, 0.9215, 0.0396)  1 N 2.29, 1 Fe 2.49
Hf (0.9215, 0.0396, 0.6884)  1 N 2.29, 1 Fe 2.49
Hf (0.9604, 0.3116, 0.0785)  1 N 2.29, 1 Fe 2.49
Hf (0.3116, 0.0785, 0.9604)  1 N 2.29, 1 Fe 2.49
Fe (0.7025, 0.8714, 0.3771)  5 Hf 2.40-2.65
Fe (0.6229, 0.2975, 0.1286)  5 Hf 2.40-2.65
Fe (0.1286, 0.6229, 0.2975)  5 Hf 2.40-2.65
Fe (0.2975, 0.1286, 0.6229)  5 Hf 2.40-2.65
Fe (0.3771, 0.7025, 0.8714)  5 Hf 2.40-2.65
Fe (0.8714, 0.3771, 0.7025)  5 Hf 2.40-2.65
N (0.0000, 0.0000, 0.0000)  6 Hf 2.29

VASP energy = -180.18 eV per cell
formation energy (no corrections) = -0.086 eV/atom
total magnetic moment = 0.00 μB/atom

***

Density functional theory data (PBE) for a relaxed Hf3FeN crystal.

Unit cell a=5.5967 b=7.8933 c=7.8933 alpha=75.33 beta=82.12 gamma=82.12
Last column: nearest neighbours and their distance in Å.
Element x y z (fractional)
Hf (0.5466, 0.1949, 0.0300)  3 N 2.24-2.35
Hf (0.0466, 0.0300, 0.1949)  3 N 2.24-2.35
Hf (0.9534, 0.9700, 0.8051)  3 N 2.24-2.35
Hf (0.4534, 0.8051, 0.9700)  3 N 2.24-2.35
Hf (0.9386, 0.3012, 0.4680)  1 N 2.33, 2 Fe 2.53-2.57
Hf (0.4386, 0.4680, 0.3012)  1 N 2.33, 2 Fe 2.53-2.57
Hf (0.5614, 0.5320, 0.6988)  1 N 2.33, 2 Fe 2.53-2.57
Hf (0.0614, 0.6988, 0.5320)  1 N 2.33, 2 Fe 2.53-2.57
Hf (0.9595, 0.6578, 0.1500)  2 N 2.18-2.25
Hf (0.4595, 0.1500, 0.6578)  2 N 2.18-2.25
Hf (0.5405, 0.8500, 0.3422)  2 N 2.18-2.25
Hf (0.0405, 0.3422, 0.8500)  2 N 2.18-2.25
Fe (0.8379, 0.3603, 0.1493)  6 Hf 2.51-2.66
Fe (0.3379, 0.1493, 0.3603)  6 Hf 2.51-2.66
Fe (0.6621, 0.8507, 0.6397)  6 Hf 2.51-2.66
Fe (0.1621, 0.6397, 0.8507)  6 Hf 2.51-2.66
N (0.2500, 0.7563, 0.2437)  6 Hf 2.18-2.33
N (0.2500, 0.0750, 0.9250)  6 Hf 2.24-2.35
N (0.7500, 0.2437, 0.7563)  6 Hf 2.18-2.33
N (0.7500, 0.9250, 0.0750)  6 Hf 2.24-2.35

VASP energy = -197.88 eV per cell
formation energy (no corrections) = -0.564 eV/atom
total magnetic moment = 0.00 μB/atom

***

Density functional theory data (PBE) for a relaxed Hf8FeN2 crystal.

Unit cell a=5.6130 b=6.8067 c=6.8067 alpha=55.90 beta=81.79 gamma=81.79
Last column: nearest neighbours and their distance in Å.
Element x y z (fractional)
Hf (0.2677, 0.3427, 0.8434)  1 N 2.08
Hf (0.7323, 0.1566, 0.6573)  1 N 2.08
Hf (0.2672, 0.8227, 0.8227)  1 N 2.11
Hf (0.7328, 0.1773, 0.1773)  1 N 2.11
Hf (0.2677, 0.8434, 0.3427)  1 N 2.08
Hf (0.7323, 0.6573, 0.1566)  1 N 2.08
Hf (0.7799, 0.6397, 0.6397)  1 N 2.06
Hf (0.2201, 0.3603, 0.3603)  1 N 2.06
Fe (0.0000, 0.0000, 0.0000)  6 Hf 2.40-2.57
N (0.6460, 0.8092, 0.8092)  4 Hf 2.06-2.11
N (0.3540, 0.1908, 0.1908)  4 Hf 2.06-2.11

VASP energy = -109.21 eV per cell
formation energy (no corrections) = -0.407 eV/atom
total magnetic moment = 0.00 μB/atom

***

Density functional theory data (PBE) for a relaxed Hf2FeN crystal.

Unit cell a=3.1537 b=3.1537 c=6.8928 alpha=76.78 beta=76.78 gamma=60.00
Last column: nearest neighbours and their distance in Å.
Element x y z (fractional)
Hf (0.2350, 0.2350, 0.2949)  3 N 2.27
Hf (0.7650, 0.7650, 0.7051)  3 N 2.27
Fe (0.0000, 0.0000, 0.0000)  6 Hf 2.68
N (0.5000, 0.5000, 0.5000)  6 Hf 2.27

VASP energy = -39.95 eV per cell
formation energy (no corrections) = -0.813 eV/atom
total magnetic moment = 0.18 μB/atom

***

Density functional theory data (PBE) for a relaxed Hf8Fe2N3 crystal.

Unit cell a=5.8234 b=6.4581 c=6.8641 alpha=118.06 beta=105.53 gamma=90.00
Last column: nearest neighbours and their distance in Å.
Element x y z (fractional)
Hf (0.9518, 0.6133, 0.2265)  2 N 2.26, 1 Fe 2.46
Hf (0.0482, 0.3867, 0.7735)  2 N 2.26, 1 Fe 2.46
Hf (0.9064, 0.1104, 0.2208)  3 N 2.20-2.34
Hf (0.0936, 0.8896, 0.7792)  3 N 2.20-2.34
Hf (0.5992, 0.6473, 0.7779)  2 N 2.25-2.31
Hf (0.5992, 0.1306, 0.7779)  2 N 2.25-2.31
Hf (0.4008, 0.8694, 0.2221)  2 N 2.25-2.31
Hf (0.4008, 0.3527, 0.2221)  2 N 2.25-2.31
Fe (0.3090, 0.2606, 0.5212)  6 Hf 2.46-2.57
Fe (0.6910, 0.7394, 0.4788)  6 Hf 2.46-2.57
N (0.5000, 0.0000, 0.0000)  6 Hf 2.25-2.34
N (0.0000, 0.2363, 0.0000)  6 Hf 2.20-2.31
N (0.0000, 0.7637, 0.0000)  6 Hf 2.20-2.31

VASP energy = -130.15 eV per cell
formation energy (no corrections) = -0.663 eV/atom
total magnetic moment = 0.00 μB/atom

***

Density functional theory data (PBE) for a relaxed Hf4FeN2 crystal.

Unit cell a=3.2289 b=5.6938 c=11.5312 alpha=90.00 beta=90.00 gamma=106.47
Last column: nearest neighbours and their distance in Å.
Element x y z (fractional)
Hf (0.2292, 0.4583, 0.6123)  3 N 2.23-2.29
Hf (0.7708, 0.5417, 0.3877)  3 N 2.23-2.29
Hf (0.7708, 0.5417, 0.1123)  3 N 2.23-2.29
Hf (0.2292, 0.4583, 0.8877)  3 N 2.23-2.29
Hf (0.9333, 0.8667, 0.7500)  2 N 2.33, 2 Fe 2.52
Hf (0.0667, 0.1333, 0.2500)  2 N 2.33, 2 Fe 2.52
Hf (0.5000, 0.0000, 0.0000)  4 N 2.28
Hf (0.5000, 0.0000, 0.5000)  4 N 2.28
Fe (0.3898, 0.7796, 0.2500)  6 Hf 2.52-2.61
Fe (0.6102, 0.2204, 0.7500)  6 Hf 2.52-2.61
N (0.8664, 0.7328, 0.9415)  6 Hf 2.23-2.33
N (0.1336, 0.2672, 0.0585)  6 Hf 2.23-2.33
N (0.8664, 0.7328, 0.5585)  6 Hf 2.23-2.33
N (0.1336, 0.2672, 0.4415)  6 Hf 2.23-2.33

energy above the lowest structure with this stoichiometry = 0.000 eV/atom
VASP energy = -146.10 eV per cell
formation energy (no corrections) = -1.160 eV/atom
total magnetic moment = 0.00 μB/atom

***

Density functional theory data (PBE) for a relaxed HfFeN2 crystal.

Unit cell a=3.7978 b=3.7978 c=3.7978 alpha=60.00 beta=60.00 gamma=60.00
Last column: nearest neighbours and their distance in Å.
Element x y z (fractional)
Hf (0.5000, 0.5000, 0.5000)  8 N 2.33
Fe (0.0000, 0.0000, 0.0000)  8 N 2.33
N (0.2500, 0.2500, 0.2500)  4 Hf 2.33, 4 Fe 2.33
N (0.7500, 0.7500, 0.7500)  4 Fe 2.33, 4 Hf 2.33

VASP energy = -36.29 eV per cell
formation energy (no corrections) = -0.307 eV/atom
total magnetic moment = 0.50 μB/atom

***

Density functional theory data (PBE) for a relaxed HfFeN2 crystal.

Unit cell a=3.1044 b=3.1044 c=9.3386 alpha=90.00 beta=90.00 gamma=120.00
Last column: nearest neighbours and their distance in Å.
Element x y z (fractional)
Hf (0.6667, 0.3333, 0.2500)  6 N 2.23
Hf (0.3333, 0.6667, 0.7500)  6 N 2.23
Fe (0.0000, 0.0000, 0.0000)  6 N 2.05
Fe (0.0000, 0.0000, 0.5000)  6 N 2.05
N (0.6667, 0.3333, 0.8929)  3 Fe 2.05, 3 Hf 2.23
N (0.3333, 0.6667, 0.1071)  3 Fe 2.05, 3 Hf 2.23
N (0.3333, 0.6667, 0.3929)  3 Fe 2.05, 3 Hf 2.23
N (0.6667, 0.3333, 0.6071)  3 Fe 2.05, 3 Hf 2.23

VASP energy = -75.41 eV per cell
formation energy (no corrections) = -0.660 eV/atom
total magnetic moment = 0.00 μB/atom

***

Density functional theory data (PBE) for a relaxed NdHf2FeN4 crystal.

Unit cell a=3.2470 b=5.7494 c=11.0736 alpha=90.00 beta=90.00 gamma=106.40
Last column: nearest neighbours and their distance in Å.
Element x y z (fractional)
Nd (0.1052, 0.2104, 0.7500)  6 N 2.47-2.65
Nd (0.8948, 0.7896, 0.2500)  6 N 2.47-2.65
Hf (0.3672, 0.7343, 0.5514)  6 N 2.13-2.33
Hf (0.6328, 0.2657, 0.0514)  6 N 2.13-2.33
Hf (0.6328, 0.2657, 0.4486)  6 N 2.13-2.33
Hf (0.3672, 0.7343, 0.9486)  6 N 2.13-2.33
Fe (0.8424, 0.6848, 0.7500)  4 N 1.92-1.93
Fe (0.1576, 0.3152, 0.2500)  4 N 1.92-1.93
N (0.2653, 0.5307, 0.1121)  1 Fe 1.93, 1 Hf 2.13
N (0.7347, 0.4693, 0.6121)  1 Fe 1.93, 1 Hf 2.13
N (0.7347, 0.4693, 0.8879)  1 Fe 1.93, 1 Hf 2.13
N (0.2653, 0.5307, 0.3879)  1 Fe 1.93, 1 Hf 2.13
N (0.0000, 0.0000, 0.5000)  4 Hf 2.26
N (0.0000, 0.0000, 0.0000)  4 Hf 2.26
N (0.4361, 0.8722, 0.7500)  2 Fe 1.92
N (0.5639, 0.1278, 0.2500)  2 Fe 1.92

VASP energy = -154.00 eV per cell
formation energy (no corrections) = -1.320 eV/atom
total magnetic moment = 0.23 μB/atom

***

Density functional theory data (PBE) for a relaxed HfPa2FeN5 crystal.

Unit cell a=3.2714 b=6.7068 c=10.1836 alpha=90.00 beta=90.00 gamma=104.12
Last column: nearest neighbours and their distance in Å.
Element x y z (fractional)
Hf (0.8028, 0.6055, 0.5070)  6 N 2.08-2.30
Hf (0.1972, 0.3945, 0.0070)  6 N 2.08-2.30
Pa (0.8573, 0.7146, 0.8064)  7 N 2.36-2.53
Pa (0.1048, 0.2096, 0.6812)  6 N 2.26-2.53
Pa (0.1427, 0.2854, 0.3064)  7 N 2.36-2.53
Pa (0.8952, 0.7904, 0.1812)  6 N 2.26-2.53
Fe (0.5232, 0.0464, 0.9572)  4 N 1.89-2.06
Fe (0.4768, 0.9536, 0.4572)  4 N 1.89-2.06
N (0.3677, 0.7354, 0.9956)  1 Fe 2.06, 1 Hf 2.22
N (0.6750, 0.3501, 0.8676)  1 Fe 2.18, 2 Hf 2.18
N (0.4862, 0.9724, 0.7776)  1 Fe 1.89
N (0.2811, 0.5623, 0.6629)  2 Hf 2.30, 3 Pa 2.30-2.41
N (0.9550, 0.9100, 0.5685)  2 Fe 2.01, 1 Hf 2.08
N (0.6323, 0.2646, 0.4956)  1 Fe 2.06, 1 Hf 2.22
N (0.3250, 0.6499, 0.3676)  1 Fe 2.18, 2 Hf 2.18
N (0.5138, 0.0276, 0.2776)  1 Fe 1.89
N (0.7189, 0.4377, 0.1629)  2 Hf 2.30, 3 Pa 2.30-2.41
N (0.0450, 0.0900, 0.0685)  2 Fe 2.01, 1 Hf 2.08

VASP energy = -181.31 eV per cell
formation energy (no corrections) = -1.291 eV/atom
total magnetic moment = 0.00 μB/atom